# Ho2AlGa2Pd5 PBE-GGA optimized geometry
# * calculated formation energy: -0.776 eV/atom
# * N(E_F): 0.589 states/eV/atom
# * E: -0.1936 Ha/atom
data_Ho2AlGa2Pd5
_chemical_formula_sum 'Ho4 Al2 Ga4 Pd10'
_cell_length_a 10.185
_cell_length_b 10.185
_cell_length_c 3.410
_cell_angle_alpha 90.00
_cell_angle_beta 90.00
_cell_angle_gamma 90.00
_space_group_name_H-M_alt 'P 4/m b m'
_space_group_IT_number 127
_space_group_name_Hall '-P 4 2ab'
loop_
_atom_site_label
_atom_site_type_symbol
_atom_site_fract_x
_atom_site_fract_y
_atom_site_fract_z
Ho1 Ho 0.175 0.325 0.000
Al1 Al 0.000 0.000 0.000
Ga1 Ga 0.129 0.629 0.000
Pd1 Pd 0.000 0.500 0.500
Pd2 Pd 0.047 0.801 0.500

---

# GdCdSnRh PBE-GGA optimized geometry
# * calculated formation energy: -0.424 eV/atom
# * N(E_F): 0.660 states/eV/atom
# * E: -0.2577 Ha/atom
data_GdCdSnRh
_chemical_formula_sum 'Gd4 Cd4 Sn4 Rh4'
_cell_length_a 6.960
_cell_length_b 6.960
_cell_length_c 6.960
_cell_angle_alpha 90.00
_cell_angle_beta 90.00
_cell_angle_gamma 90.00
_space_group_name_H-M_alt 'F -4 3 m'
_space_group_IT_number 216
_space_group_name_Hall 'F -4 2 3'
loop_
_atom_site_label
_atom_site_type_symbol
_atom_site_fract_x
_atom_site_fract_y
_atom_site_fract_z
Gd1 Gd 0.000 0.000 0.000
Cd1 Cd 0.250 0.250 0.250
Sn1 Sn 0.000 0.000 0.500
Rh1 Rh 0.250 0.250 0.750

---

# Ce8PaOs2 PBE-GGA optimized geometry
# * calculated formation energy: 0.031 eV/atom
# * N(E_F): 2.500 states/eV/atom
# * E: -0.2642 Ha/atom
data_Ce8PaOs2
_chemical_formula_sum 'Ce16 Pa2 Os4'
_cell_length_a 14.527
_cell_length_b 6.343
_cell_length_c 6.148
_cell_angle_alpha 90.00
_cell_angle_beta 99.03
_cell_angle_gamma 90.00
_space_group_name_H-M_alt 'C 1 2/m 1'
_space_group_IT_number 12
_space_group_name_Hall '-C 2y'
loop_
_atom_site_label
_atom_site_type_symbol
_atom_site_fract_x
_atom_site_fract_y
_atom_site_fract_z
Ce1 Ce 0.076 0.000 0.387
Ce2 Ce 0.111 0.258 0.889
Ce3 Ce 0.198 0.500 0.352
Pa1 Pa 0.000 0.500 0.500
Os1 Os 0.230 0.000 0.196

---

# PmDy2MgTl4 PBE-GGA optimized geometry
# * calculated formation energy: -0.296 eV/atom
# * N(E_F): 0.566 states/eV/atom
# * E: -0.1258 Ha/atom
data_PmDy2MgTl4
_chemical_formula_sum 'Pm3 Dy6 Mg3 Tl12'
_cell_length_a 5.2807
_cell_length_b 5.2807
_cell_length_c 27.0221
_cell_angle_alpha 90.00
_cell_angle_beta 90.00
_cell_angle_gamma 120.00
_space_group_name_H-M_alt 'R -3 m'
_space_group_IT_number 166
_space_group_name_Hall '-R 3 2"'
loop_
_atom_site_label
_atom_site_type_symbol
_atom_site_fract_x
_atom_site_fract_y
_atom_site_fract_z
Pm1 Pm 0.0000 0.0000 0.0000
Dy1 Dy 0.0000 0.0000 0.2436
Mg1 Mg 0.0000 0.0000 0.5000
Tl1 Tl 0.0000 0.0000 0.1251
Tl2 Tl 0.0000 0.0000 0.3773

---

# Al4ZnAg7 PBE-GGA optimized geometry
# * calculated formation energy: -0.028 eV/atom
# * energy above the lowest structure with this stoichiometry: 0.000 eV per atom
# * N(E_F): 0.198 states/eV/atom
# * E: -0.1119 Ha/atom
data_Al4ZnAg7
_chemical_formula_sum 'Al8 Zn2 Ag14'
_cell_length_a 8.311
_cell_length_b 4.275
_cell_length_c 11.408
_cell_angle_alpha 90.00
_cell_angle_beta 98.09
_cell_angle_gamma 90.00
_space_group_name_H-M_alt 'C 1 2/m 1'
_space_group_IT_number 12
_space_group_name_Hall '-C 2y'
loop_
_atom_site_label
_atom_site_type_symbol
_atom_site_fract_x
_atom_site_fract_y
_atom_site_fract_z
Al1 Al 0.167 0.000 0.412
Al2 Al 0.168 0.000 0.163
Zn1 Zn 0.000 0.500 0.000
Ag1 Ag 0.000 0.500 0.500
Ag2 Ag 0.004 0.500 0.240
Ag3 Ag 0.165 0.000 0.656
Ag4 Ag 0.167 0.000 0.917

---

# Zn3NiI9 PBE-GGA optimized geometry
# * formation energy (no corrections): -0.322 eV per atom
# * N(E_F): 0.317 states/eV/atom
# * E: -0.0784 Ha/atom
data_Zn3NiI9
_chemical_formula_sum 'Zn12 Ni4 I36'
_cell_length_a 20.738
_cell_length_b 9.193
_cell_length_c 14.639
_cell_angle_alpha 90.00
_cell_angle_beta 130.84
_cell_angle_gamma 90.00
_space_group_name_H-M_alt 'C 1 c 1'
_space_group_IT_number 9
_space_group_name_Hall 'C -2yc'
loop_
_atom_site_label
_atom_site_type_symbol
_atom_site_fract_x
_atom_site_fract_y
_atom_site_fract_z
Zn1 Zn 0.000 0.133 0.000
Zn2 Zn 0.194 0.196 0.595
Zn3 Zn 0.350 0.189 0.116
Ni1 Ni 0.220 0.444 0.336
I1 I 0.066 0.130 0.589
I2 I 0.118 0.345 0.112
I3 I 0.142 0.263 0.380
I4 I 0.213 0.347 0.950
I5 I 0.289 0.389 0.780
I6 I 0.308 0.017 0.215
I7 I 0.369 0.306 0.489
I8 I 0.437 0.053 0.076
I9 I 0.467 0.378 0.292